--- a ---
Compound: Ce4Pu2Ga3
Source: the Alexandria database
Functional: PBE-GGA
Structure: optimized geometry

As for the space-group type: No. 12. For the total magnetic moment, the calculation gives 1.45 μB per atom. Its density of states at the Fermi level is 14.22 states/eV per cell.

a b c (Å): 6.1192 6.1192 9.2686
angles (deg): 117.18 117.18 46.04
Last column: nearest neighbours and their distance in Å.
Sites, in units of the cell vectors:
Ce 0.1041 0.1041 0.3915  2 Pu 2.81, 3 Ga 3.04-3.10
Ce 0.2696 0.2696 0.8603  1 Pu 2.65
Ce 0.7304 0.7304 0.1397  1 Pu 2.65
Ce 0.8959 0.8959 0.6085  2 Pu 2.81, 3 Ga 3.04-3.10
Pu 0.4712 0.4712 0.7904  3 Ce 2.65-2.81, 1 Ga 2.93
Pu 0.5288 0.5288 0.2096  3 Ce 2.65-2.81, 1 Ga 2.93
Ga 0.0000 0.0000 0.0000  4 Pu 3.00, 6 Ce 3.21-3.29
Ga 0.3699 0.3699 0.3811  1 Ga 2.65, 1 Pu 2.93
Ga 0.6301 0.6301 0.6189  1 Ga 2.65, 1 Pu 2.93

--- b ---
Compound: Ce4Pu2Ga3
Source: the Alexandria database
Functional: PBE-GGA
Structure: optimized geometry

As for the space-group type: No. 12. For the total magnetic moment, the calculation gives 1.42 μB per atom. Its density of states at the Fermi level is 15.64 states/eV per cell.

a b c (Å): 8.0982 8.0982 7.2289
angles (deg): 112.92 112.92 29.67
Last column: nearest neighbours and their distance in Å.
Sites, in units of the cell vectors:
Ce 0.0244 0.0244 0.3302  1 Ce 2.85, 1 Pu 2.88, 4 Ga 3.07-3.11
Ce 0.2925 0.2925 0.7221  2 Pu 2.82, 3 Ga 3.06-3.10
Ce 0.7075 0.7075 0.2779  2 Pu 2.82, 3 Ga 3.06-3.10
Ce 0.9756 0.9756 0.6698  1 Ce 2.85, 1 Pu 2.88, 4 Ga 3.07-3.11
Pu 0.1599 0.1599 0.9905  3 Ce 2.82-2.88, 2 Ga 3.07
Pu 0.8401 0.8401 0.0095  3 Ce 2.82-2.88, 2 Ga 3.07
Ga 0.3639 0.3639 0.3401  3 Pu 3.07-3.18, 7 Ce 3.10-3.37
Ga 0.5000 0.5000 0.0000  6 Ce 3.06-3.07, 4 Pu 3.27
Ga 0.6361 0.6361 0.6599  3 Pu 3.07-3.18, 7 Ce 3.10-3.37

a is the most stable structure; the next one sits 12 meV/atom above it.

--- a ---
Compound: Ce6PuGa3
Source: the Alexandria database
Functional: PBE-GGA
Structure: optimized geometry

As for the space-group type: No. 148. For the total magnetic moment, the calculation gives 0.00 μB per atom. Its density of states at the Fermi level is 33.02 states/eV per cell.

a b c (Å): 8.2824 8.2824 8.2824
angles (deg): 98.25 98.25 98.25
Last column: nearest neighbours and their distance in Å.
Sites, in units of the cell vectors:
Ce 0.0000 0.0590 0.2993  1 Pu 2.46
Ce 0.0000 0.9410 0.7007  1 Pu 2.46
Ce 0.0590 0.2993 0.0000  1 Pu 2.46
Ce 0.2088 0.5555 0.4271  1 Pu 2.52
Ce 0.2993 0.0000 0.0590  1 Pu 2.46
Ce 0.4271 0.2088 0.5555  1 Pu 2.52
Ce 0.4445 0.5729 0.7912  1 Pu 2.52
Ce 0.5555 0.4271 0.2088  1 Pu 2.52
Ce 0.5729 0.7912 0.4445  1 Pu 2.52
Ce 0.7007 0.0000 0.9410  1 Pu 2.46
Ce 0.7912 0.4445 0.5729  1 Pu 2.52
Ce 0.9410 0.7007 0.0000  1 Pu 2.46
Pu 0.0000 0.0000 0.0000  6 Ce 2.46
Pu 0.5000 0.5000 0.5000  6 Ce 2.52
Ga 0.1075 0.3019 0.6463  7 Ce 3.02-3.28
Ga 0.3019 0.6463 0.1075  7 Ce 3.02-3.28
Ga 0.3537 0.8925 0.6981  7 Ce 3.02-3.28
Ga 0.6463 0.1075 0.3019  7 Ce 3.02-3.28
Ga 0.6981 0.3537 0.8925  7 Ce 3.02-3.28
Ga 0.8925 0.6981 0.3537  7 Ce 3.02-3.28

--- b ---
Compound: Ce6PuGa3
Source: the Alexandria database
Functional: PBE-GGA
Structure: optimized geometry

As for the space-group type: No. 166. For the total magnetic moment, the calculation gives 0.00 μB per atom. Its density of states at the Fermi level is 37.05 states/eV per cell.

a b c (Å): 8.0733 8.0733 8.0733
angles (deg): 76.13 76.13 76.13
Last column: nearest neighbours and their distance in Å.
Sites, in units of the cell vectors:
Ce 0.1455 0.8004 0.8004  1 Pu 2.45
Ce 0.1799 0.5282 0.5282  1 Pu 2.50
Ce 0.1996 0.1996 0.8545  1 Pu 2.45
Ce 0.1996 0.8545 0.1996  1 Pu 2.45
Ce 0.4718 0.4718 0.8201  1 Pu 2.50
Ce 0.4718 0.8201 0.4718  1 Pu 2.50
Ce 0.5282 0.1799 0.5282  1 Pu 2.50
Ce 0.5282 0.5282 0.1799  1 Pu 2.50
Ce 0.8004 0.1455 0.8004  1 Pu 2.45
Ce 0.8004 0.8004 0.1455  1 Pu 2.45
Ce 0.8201 0.4718 0.4718  1 Pu 2.50
Ce 0.8545 0.1996 0.1996  1 Pu 2.45
Pu 0.0000 0.0000 0.0000  6 Ce 2.45
Pu 0.5000 0.5000 0.5000  6 Ce 2.50
Ga 0.1567 0.1567 0.4551  2 Ga 2.97, 4 Ce 3.25
Ga 0.1567 0.4551 0.1567  2 Ga 2.97, 4 Ce 3.25
Ga 0.4551 0.1567 0.1567  2 Ga 2.97, 4 Ce 3.25
Ga 0.5449 0.8433 0.8433  2 Ga 2.97, 4 Ce 3.25
Ga 0.8433 0.5449 0.8433  2 Ga 2.97, 4 Ce 3.25
Ga 0.8433 0.8433 0.5449  2 Ga 2.97, 4 Ce 3.25

b is the most stable structure; the next one sits 64 meV/atom above it.

--- a ---
Compound: CePuGa2
Source: the Alexandria database
Functional: PBE-GGA
Structure: optimized geometry

As for the space-group type: No. 74. For the total magnetic moment, the calculation gives 1.56 μB per atom. Its density of states at the Fermi level is 17.30 states/eV per cell.

a b c (Å): 6.2943 6.2943 6.2943
angles (deg): 114.63 92.66 122.47
Last column: nearest neighbours and their distance in Å.
Sites, in units of the cell vectors:
Ce 0.2572 0.0072 0.2500  2 Pu 2.89-3.16, 8 Ga 3.14-3.15
Ce 0.7428 0.9928 0.7500  2 Pu 2.89-3.16, 8 Ga 3.14-3.15
Pu 0.2651 0.5151 0.7500  2 Ce 2.89-3.16, 8 Ga 3.13-3.17
Pu 0.7349 0.4849 0.2500  2 Ce 2.89-3.16, 8 Ga 3.13-3.17
Ga 0.2454 0.0000 0.7454  2 Ga 3.03, 4 Pu 3.13-3.17, 4 Ce 3.14-3.15
Ga 0.2454 0.5000 0.2454  2 Ga 3.03, 4 Pu 3.13-3.17, 4 Ce 3.14-3.15
Ga 0.7546 0.0000 0.2546  2 Ga 3.03, 4 Pu 3.13-3.17, 4 Ce 3.14-3.15
Ga 0.7546 0.5000 0.7546  2 Ga 3.03, 4 Pu 3.13-3.17, 4 Ce 3.14-3.15

--- b ---
Compound: CePuGa2
Source: the Alexandria database
Functional: PBE-GGA
Structure: optimized geometry

As for the space-group type: No. 225. For the total magnetic moment, the calculation gives 1.30 μB per atom. Its density of states at the Fermi level is 9.24 states/eV per cell.

a b c (Å): 5.0855 5.0855 5.0855
angles (deg): 60.00 60.00 60.00
Last column: nearest neighbours and their distance in Å.
Sites, in units of the cell vectors:
Ce 0.0000 0.0000 0.0000  8 Ga 3.11
Pu 0.5000 0.5000 0.5000  8 Ga 3.11
Ga 0.2500 0.2500 0.2500  4 Ce 3.11, 4 Pu 3.11
Ga 0.7500 0.7500 0.7500  4 Ce 3.11, 4 Pu 3.11

--- c ---
Compound: CePuGa2
Source: the Alexandria database
Functional: PBE-GGA
Structure: optimized geometry

As for the space-group type: No. 166. For the total magnetic moment, the calculation gives 1.44 μB per atom. Its density of states at the Fermi level is 10.84 states/eV per cell.

a b c (Å): 10.2449 10.2449 10.2449
angles (deg): 18.30 18.30 18.30
Last column: nearest neighbours and their distance in Å.
Sites, in units of the cell vectors:
Ce 0.0000 0.0000 0.0000  6 Ga 3.17, 6 Ce 3.26
Pu 0.5000 0.5000 0.5000  6 Ga 3.12, 6 Pu 3.26
Ga 0.2491 0.2491 0.2491  3 Pu 3.12, 3 Ce 3.17, 6 Ga 3.26
Ga 0.7509 0.7509 0.7509  3 Pu 3.12, 3 Ce 3.17, 6 Ga 3.26

--- d ---
Compound: CePuGa2
Source: the Alexandria database
Functional: PBE-GGA
Structure: optimized geometry

As for the space-group type: No. 123. For the total magnetic moment, the calculation gives 1.32 μB per atom. Its density of states at the Fermi level is 8.41 states/eV per cell.

a b c (Å): 3.1721 3.1721 8.7971
angles (deg): 90.00 90.00 90.00
Last column: nearest neighbours and their distance in Å.
Sites, in units of the cell vectors:
Ce 0.0000 0.0000 0.0000  8 Ga 3.16, 4 Ce 3.17
Pu 0.0000 0.0000 0.5000  8 Ga 3.12, 4 Pu 3.17
Ga 0.5000 0.5000 0.2532  4 Pu 3.12, 4 Ce 3.16, 4 Ga 3.17
Ga 0.5000 0.5000 0.7468  4 Pu 3.12, 4 Ce 3.16, 4 Ga 3.17

a is the most stable structure; the next one sits 15 meV/atom above it.

--- a ---
Compound: CePuGa
Source: the Alexandria database
Functional: PBE-GGA
Structure: optimized geometry

As for the space-group type: No. 139. For the total magnetic moment, the calculation gives 1.53 μB per atom. Its density of states at the Fermi level is 16.48 states/eV per cell.

a b c (Å): 16.1674 16.1674 16.1674
angles (deg): 169.26 169.26 15.21
Last column: nearest neighbours and their distance in Å.
Sites, in units of the cell vectors:
Ce 0.1337 0.1337 0.0000  1 Ga 3.00, 4 Ce 3.03, 4 Pu 3.24
Ce 0.8663 0.8663 0.0000  1 Ga 3.00, 4 Ce 3.03, 4 Pu 3.24
Pu 0.2902 0.2902 0.0000  8 Pu 3.03-3.35, 4 Ce 3.24
Pu 0.7098 0.7098 0.0000  8 Pu 3.03-3.35, 4 Ce 3.24
Ga 0.0400 0.0400 0.0000  1 Ga 2.56
Ga 0.9600 0.9600 0.0000  1 Ga 2.56

--- b ---
Compound: CePuGa
Source: the Alexandria database
Functional: PBE-GGA
Structure: optimized geometry

As for the space-group type: No. 8. For the total magnetic moment, the calculation gives 1.83 μB per atom. Its density of states at the Fermi level is 4.10 states/eV per cell.

a b c (Å): 4.1472 4.1472 5.4850
angles (deg): 112.22 112.22 59.85
Last column: nearest neighbours and their distance in Å.
Sites, in units of the cell vectors:
Ce 0.0000 0.0000 0.0000  3 Pu 2.71
Pu 0.2472 0.2472 0.7419  3 Ce 2.71, 3 Ga 2.97
Ga 0.4608 0.4608 0.3844  4 Pu 2.97-3.17, 3 Ce 3.05

--- c ---
Compound: CePuGa
Source: the Alexandria database
Functional: PBE-GGA
Structure: optimized geometry

As for the space-group type: No. 166. For the total magnetic moment, the calculation gives 0.06 μB per atom. Its density of states at the Fermi level is 12.83 states/eV per cell.

a b c (Å): 10.5087 10.5087 10.5087
angles (deg): 21.73 21.73 21.73
Last column: nearest neighbours and their distance in Å.
Sites, in units of the cell vectors:
Ce 0.0757 0.0757 0.0757  3 Ga 3.04, 4 Pu 3.11-3.38
Ce 0.9243 0.9243 0.9243  3 Ga 3.04, 4 Pu 3.11-3.38
Pu 0.1767 0.1767 0.1767  3 Pu 2.37
Pu 0.8233 0.8233 0.8233  3 Pu 2.37
Ga 0.3228 0.3228 0.3228  3 Ga 2.38
Ga 0.6772 0.6772 0.6772  3 Ga 2.38

--- d ---
Compound: CePuGa
Source: the Alexandria database
Functional: PBE-GGA
Structure: optimized geometry

As for the space-group type: No. 187. For the total magnetic moment, the calculation gives 2.12 μB per atom. Its density of states at the Fermi level is 6.74 states/eV per cell.

a b c (Å): 4.9888 4.9888 3.1156
angles (deg): 90.00 90.00 120.00
Last column: nearest neighbours and their distance in Å.
Sites, in units of the cell vectors:
Ce 0.0000 0.0000 0.0000  3 Pu 2.88, 2 Ce 3.12
Pu 0.3333 0.6667 0.0000  3 Ce 2.88, 2 Pu 3.12
Ga 0.6667 0.3333 0.5000  2 Ga 3.12, 6 Ce 3.27, 6 Pu 3.27

d is the most stable structure; the next one sits 210 meV/atom above it.

--- a ---
Compound: Ce3Pu2Ga3
Source: the Alexandria database
Functional: PBE-GGA
Structure: optimized geometry

As for the space-group type: No. 189. For the total magnetic moment, the calculation gives 1.62 μB per atom. Its density of states at the Fermi level is 17.92 states/eV per cell.

a b c (Å): 8.0928 8.0928 3.3746
angles (deg): 90.00 90.00 120.00
Last column: nearest neighbours and their distance in Å.
Sites, in units of the cell vectors:
Ce 0.0000 0.2771 0.0000  2 Pu 2.95, 6 Ga 3.20-3.30
Ce 0.2771 0.0000 0.0000  2 Pu 2.95, 6 Ga 3.20-3.30
Ce 0.7229 0.7229 0.0000  2 Pu 2.95, 6 Ga 3.20-3.30
Pu 0.3333 0.6667 0.0000  3 Ce 2.95, 6 Ga 3.06
Pu 0.6667 0.3333 0.0000  3 Ce 2.95, 6 Ga 3.06
Ga 0.0000 0.6271 0.5000  4 Pu 3.06, 6 Ce 3.20-3.30, 2 Ga 3.37
Ga 0.3729 0.3729 0.5000  4 Pu 3.06, 6 Ce 3.20-3.30, 2 Ga 3.37
Ga 0.6271 0.0000 0.5000  4 Pu 3.06, 6 Ce 3.20-3.30, 2 Ga 3.37

--- b ---
Compound: Ce3Pu2Ga3
Source: the Alexandria database
Functional: PBE-GGA
Structure: optimized geometry

As for the space-group type: No. 193. For the total magnetic moment, the calculation gives 1.78 μB per atom. Its density of states at the Fermi level is 43.88 states/eV per cell.

a b c (Å): 8.9600 8.9600 5.8089
angles (deg): 90.00 90.00 120.00
Last column: nearest neighbours and their distance in Å.
Sites, in units of the cell vectors:
Ce 0.0000 0.2578 0.2500  5 Ga 3.10-3.15
Ce 0.0000 0.7422 0.7500  5 Ga 3.10-3.15
Ce 0.2578 0.0000 0.2500  5 Ga 3.10-3.15
Ce 0.2578 0.2578 0.7500  5 Ga 3.10-3.15
Ce 0.7422 0.0000 0.7500  5 Ga 3.10-3.15
Ce 0.7422 0.7422 0.2500  5 Ga 3.10-3.15
Pu 0.3333 0.6667 0.0000  2 Pu 2.90, 6 Ga 3.12
Pu 0.3333 0.6667 0.5000  2 Pu 2.90, 6 Ga 3.12
Pu 0.6667 0.3333 0.0000  2 Pu 2.90, 6 Ga 3.12
Pu 0.6667 0.3333 0.5000  2 Pu 2.90, 6 Ga 3.12
Ga 0.0000 0.3927 0.7500  5 Ce 3.10-3.15, 4 Pu 3.12
Ga 0.0000 0.6073 0.2500  5 Ce 3.10-3.15, 4 Pu 3.12
Ga 0.3927 0.0000 0.7500  5 Ce 3.10-3.15, 4 Pu 3.12
Ga 0.3927 0.3927 0.2500  5 Ce 3.10-3.15, 4 Pu 3.12
Ga 0.6073 0.0000 0.2500  5 Ce 3.10-3.15, 4 Pu 3.12
Ga 0.6073 0.6073 0.7500  5 Ce 3.10-3.15, 4 Pu 3.12

a is the most stable structure; the next one sits 18 meV/atom above it.

--- a ---
Compound: Ce2Pu2Ga
Source: the Alexandria database
Functional: PBE-GGA
Structure: optimized geometry

As for the space-group type: No. 12. For the total magnetic moment, the calculation gives 0.17 μB per atom. Its density of states at the Fermi level is 23.24 states/eV per cell.

a b c (Å): 6.5317 6.5317 10.8780
angles (deg): 111.59 111.59 35.53
Last column: nearest neighbours and their distance in Å.
Sites, in units of the cell vectors:
Ce 0.0124 0.0124 0.3375  2 Pu 2.68
Ce 0.2159 0.2159 0.1449  1 Pu 2.64
Ce 0.7841 0.7841 0.8551  1 Pu 2.64
Ce 0.9876 0.9876 0.6625  2 Pu 2.68
Pu 0.3880 0.3880 0.3815  3 Ce 2.64-2.68, 2 Ga 2.95
Pu 0.4684 0.4684 0.1143  1 Pu 2.88, 2 Ce 3.02
Pu 0.5316 0.5316 0.8857  1 Pu 2.88, 2 Ce 3.02
Pu 0.6120 0.6120 0.6185  3 Ce 2.64-2.68, 2 Ga 2.95
Ga 0.2822 0.2822 0.6056  2 Ga 2.91, 3 Pu 2.95-3.19, 2 Ce 3.11
Ga 0.7178 0.7178 0.3944  2 Ga 2.91, 3 Pu 2.95-3.19, 2 Ce 3.11

--- b ---
Compound: Ce2Pu2Ga
Source: the Alexandria database
Functional: PBE-GGA
Structure: optimized geometry

As for the space-group type: No. 194. For the total magnetic moment, the calculation gives 2.73 μB per atom. Its density of states at the Fermi level is 28.15 states/eV per cell.

a b c (Å): 5.0717 5.0717 11.7419
angles (deg): 90.00 90.00 120.00
Last column: nearest neighbours and their distance in Å.
Sites, in units of the cell vectors:
Ce 0.0000 0.0000 0.0000  2 Ga 2.94, 6 Pu 3.11
Ce 0.0000 0.0000 0.5000  2 Ga 2.94, 6 Pu 3.11
Ce 0.3333 0.6667 0.2500  3 Ga 2.93
Ce 0.6667 0.3333 0.7500  3 Ga 2.93
Pu 0.3333 0.6667 0.5898  6 Ce 3.11-3.48, 3 Ga 3.48
Pu 0.3333 0.6667 0.9102  6 Ce 3.11-3.48, 3 Ga 3.48
Pu 0.6667 0.3333 0.0898  6 Ce 3.11-3.48, 3 Ga 3.48
Pu 0.6667 0.3333 0.4102  6 Ce 3.11-3.48, 3 Ga 3.48
Ga 0.0000 0.0000 0.2500  5 Ce 2.93-2.94
Ga 0.0000 0.0000 0.7500  5 Ce 2.93-2.94

a is the most stable structure; the next one sits 5 meV/atom above it.